Density functional theory data (PBE) for an optimized crystal structure of RbCuSeBr2.

abc: 5.424 5.424 6.594
angles: 90.00 90.00 90.00
Space group P4/mmm (No. 123)
Symmetry-distinct sites (fractional):
Rb 0.000 0.000 0.000
Cu 0.500 0.500 0.000
Se 0.000 0.000 0.500
Br 0.000 0.500 0.500

Values from the calculation:
formation energy from raw total energies: 0.15 eV per atom
M_tot: 0.8 μB per formula unit